Model a:
FeMo2Ru: single point on PBEsol structure, meta-GGA SCAN.

Summary:
Its size of the total moment is 2.1 μB per formula unit. Its space group is Cmm2, No. 35.

Unit cell a=2.6408 b=2.6408 c=7.8380 alpha=90.00 beta=90.00 gamma=90.11
Closest atoms and distances in Å follow each position.
Fractional positions:
Fe1 0.5000 0.5000 0.2633  4 Ru 2.51-2.52, 4 Fe 2.64, 4 Mo 2.65
Mo1 0.0000 0.0000 0.0234  8 Mo 2.64-2.93, 4 Fe 2.65
Mo2 0.5000 0.5000 0.7353  8 Mo 2.64-2.93, 4 Ru 2.75
Ru1 0.0000 0.0000 0.4781  4 Fe 2.51-2.52, 4 Ru 2.64, 4 Mo 2.75

---

Model b:
FeMo2Ru: single point on PBEsol structure, meta-GGA SCAN.

Summary:
Its size of the total moment is 2.5 μB per formula unit. Its space group is P4mm, No. 99.

Unit cell a=3.0712 b=3.0764 c=5.8459 alpha=90.00 beta=90.00 gamma=90.00
Closest atoms and distances in Å follow each position.
Fractional positions:
Fe1 0.5000 0.5000 0.7629  4 Mo 2.51, 4 Ru 2.65
Mo1 0.0000 0.0000 0.9766  4 Fe 2.51, 4 Mo 2.72, 1 Ru 2.76
Mo2 0.5000 0.5000 0.2558  4 Ru 2.62, 4 Mo 2.72, 1 Fe 2.88
Ru1 0.0000 0.0000 0.5047  5 Mo 2.62-2.76, 4 Fe 2.65

---

Most stable structure: model b

---

Model a:
FeSb2Mo: single point on PBEsol structure, meta-GGA SCAN.

Summary:
Its size of the total moment is 1.5 μB per formula unit. Its space group is I-4m2, No. 119.

Unit cell a=3.8398 b=3.8398 c=5.5410 alpha=110.27 beta=110.27 gamma=90.00
Closest atoms and distances in Å follow each position.
Fractional positions:
Fe1 0.5000 0.5000 0.0000  4 Sb 2.72
Mo1 0.2500 0.7500 0.5000  4 Sb 2.72
Sb1 0.0000 0.0000 0.0000  4 Fe 2.72
Sb2 0.7500 0.2500 0.5000  4 Mo 2.72

---

Model b:
FeSb2Mo: single point on PBEsol structure, meta-GGA SCAN.

Summary:
Its size of the total moment is 2.1 μB per formula unit. Its space group is C2/m, No. 12.

Unit cell a=3.1888 b=4.4512 c=5.4147 alpha=102.52 beta=90.00 gamma=110.99
Closest atoms and distances in Å follow each position.
Fractional positions:
Fe1 0.0000 0.0000 0.5000  6 Sb 2.68-2.73
Mo1 0.5000 0.0000 0.0000  6 Sb 2.73-2.76
Sb1 0.7456 0.4911 0.7418  3 Fe 2.68-2.73, 3 Mo 2.73-2.76
Sb2 0.2544 0.5089 0.2582  3 Fe 2.68-2.73, 3 Mo 2.73-2.76

---

Most stable structure: model b

---

Model a:
Fe2TcMo: single point on PBEsol structure, meta-GGA SCAN.

Summary:
Its size of the total moment is 5.0 μB per formula unit. Its space group is P4mm, No. 99.

Unit cell a=3.0058 b=3.0058 c=5.7163 alpha=90.00 beta=90.00 gamma=90.00
Closest atoms and distances in Å follow each position.
Fractional positions:
Mo1 0.0000 0.0000 0.4936  5 Fe 2.59-2.73, 4 Tc 2.60
Tc1 0.5000 0.5000 0.7555  5 Fe 2.59-2.74, 4 Mo 2.60
Fe1 0.0000 0.0000 0.0153  4 Fe 2.47, 4 Tc 2.59, 1 Mo 2.73
Fe2 0.5000 0.5000 0.2356  4 Fe 2.47, 4 Mo 2.59, 1 Tc 2.74

---

Model b:
Fe2TcMo: single point on PBEsol structure, meta-GGA SCAN.

Summary:
Its size of the total moment is 4.0 μB per formula unit. Its space group is R-3m, No. 166.

Unit cell a=2.6240 b=2.6240 c=8.5515 alpha=81.17 beta=81.17 gamma=60.00
Closest atoms and distances in Å follow each position.
Fractional positions:
Fe1 0.2519 0.2519 0.2444  3 Tc 2.55, 6 Fe 2.62, 3 Mo 2.63
Fe2 0.7481 0.7481 0.7556  3 Tc 2.55, 6 Fe 2.62, 3 Mo 2.63
Mo1 0.5000 0.5000 0.5000  6 Mo 2.62, 6 Fe 2.63
Tc1 0.0000 0.0000 0.0000  6 Fe 2.55, 6 Tc 2.62

---

Most stable structure: model a

---

Model a:
Fe2TcMo: single point on PBEsol structure, meta-GGA SCAN.

Summary:
Its size of the total moment is 5.3 μB per formula unit. Its space group is Imm2, No. 44.

Unit cell a=3.0116 b=4.1617 c=4.8514 alpha=115.40 beta=108.08 gamma=90.00
Closest atoms and distances in Å follow each position.
Fractional positions:
Fe1 0.0059 0.0059 0.0117  2 Fe 2.47, 4 Mo 2.57, 2 Tc 2.57
Fe2 0.7445 0.2445 0.4889  2 Fe 2.47, 2 Mo 2.57, 4 Tc 2.57
Mo1 0.4974 0.4974 0.9947  6 Fe 2.57, 2 Tc 2.58
Tc1 0.2523 0.7523 0.5047  6 Fe 2.57, 2 Mo 2.58

---

Model b:
Fe2TcMo: single point on PBEsol structure, meta-GGA SCAN.

Summary:
Its size of the total moment is 4.8 μB per formula unit. Its space group is Pm, No. 6.

Unit cell a=2.5501 b=4.1761 c=4.8858 alpha=90.00 beta=99.00 gamma=90.00
Closest atoms and distances in Å follow each position.
Fractional positions:
Mo1 0.4926 0.0000 0.4890  5 Fe 2.53-2.83, 2 Mo 2.55, 2 Tc 2.60
Tc1 0.2628 0.5000 0.7642  4 Fe 2.49-2.66, 2 Tc 2.55, 2 Mo 2.60
Fe1 0.9712 0.0000 0.0047  4 Fe 2.48-2.55, 2 Mo 2.53-2.62, 2 Tc 2.56
Fe2 0.7734 0.5000 0.2421  4 Fe 2.48-2.55, 2 Tc 2.49-2.66, 2 Mo 2.57

---

Most stable structure: model b

---

Model a:
FeTeMo: single point on PBEsol structure, meta-GGA SCAN.

Summary:
Its size of the total moment is 3.0 μB per formula unit. Its space group is F-43m, No. 216.

Unit cell a=4.2418 b=4.2418 c=4.2418 alpha=60.00 beta=60.00 gamma=60.00
Closest atoms and distances in Å follow each position.
Fractional positions:
Fe1 0.0000 0.0000 0.0000  4 Te 2.60
Mo1 0.5000 0.5000 0.5000  4 Te 2.60
Te1 0.2500 0.2500 0.2500  4 Fe 2.60, 4 Mo 2.60

---

Model b:
FeTeMo: single point on PBEsol structure, meta-GGA SCAN.

Summary:
Its size of the total moment is 0.0 μB per formula unit. Its space group is P3m1, No. 156.

Unit cell a=3.7394 b=3.7394 c=4.3325 alpha=90.00 beta=90.00 gamma=120.00
Closest atoms and distances in Å follow each position.
Fractional positions:
Fe1 0.0000 0.0000 0.9524  3 Mo 2.29, 3 Te 2.56
Mo1 0.3333 0.6667 0.7762  3 Fe 2.29
Te1 0.6667 0.3333 0.2714  3 Fe 2.56

---

Most stable structure: model b

---

Model a:
TlFeMo2: single point on PBEsol structure, meta-GGA SCAN.

Summary:
Its size of the total moment is 2.2 μB per formula unit. Its space group is R-3m, No. 166.

Unit cell a=2.8472 b=2.8472 c=9.1342 alpha=81.03 beta=81.03 gamma=60.00
Closest atoms and distances in Å follow each position.
Fractional positions:
Fe1 0.0000 0.0000 0.0000  6 Mo 2.57, 6 Fe 2.85
Mo1 0.2602 0.2602 0.2195  3 Fe 2.57, 6 Mo 2.85
Mo2 0.7398 0.7398 0.7805  3 Fe 2.57, 6 Mo 2.85
Tl1 0.5000 0.5000 0.5000  6 Tl 2.85, 6 Mo 3.01

---

Model b:
TlFeMo2: single point on PBEsol structure, meta-GGA SCAN.

Summary:
Its size of the total moment is 1.8 μB per formula unit. Its space group is Fm-3m, No. 225.

Unit cell a=4.4656 b=4.4656 c=4.4656 alpha=60.00 beta=60.00 gamma=60.00
Closest atoms and distances in Å follow each position.
Fractional positions:
Fe1 0.0000 0.0000 0.0000  8 Mo 2.73
Mo1 0.2500 0.2500 0.2500  4 Tl 2.73, 4 Fe 2.73
Mo2 0.7500 0.7500 0.7500  4 Tl 2.73, 4 Fe 2.73
Tl1 0.5000 0.5000 0.5000  8 Mo 2.73

---

Most stable structure: model b

---

Model a:
TlFeMo2: single point on PBEsol structure, meta-GGA SCAN.

Summary:
Its size of the total moment is 2.9 μB per formula unit. Its space group is P4mm, No. 99.

Unit cell a=3.2578 b=3.2578 c=6.0321 alpha=90.00 beta=90.00 gamma=90.00
Closest atoms and distances in Å follow each position.
Fractional positions:
Fe1 0.5000 0.5000 0.7804  5 Mo 2.58-2.65, 4 Tl 2.81
Mo1 0.0000 0.0000 0.9964  4 Mo 2.64, 4 Fe 2.65, 1 Tl 2.91
Mo2 0.5000 0.5000 0.2085  1 Fe 2.58, 4 Mo 2.64
Tl1 0.0000 0.0000 0.5147  4 Fe 2.81, 6 Mo 2.91-3.13

---

Model b:
TlFeMo2: single point on PBEsol structure, meta-GGA SCAN.

Summary:
Its size of the total moment is 2.4 μB per formula unit. Its space group is Cmmm, No. 65.

Unit cell a=2.8905 b=4.8845 c=4.8845 alpha=114.03 beta=90.00 gamma=90.00
Closest atoms and distances in Å follow each position.
Fractional positions:
Fe1 0.5000 0.5000 0.5000  2 Tl 2.66, 8 Mo 2.84, 2 Fe 2.89
Mo1 0.0000 0.5000 0.0000  4 Mo 2.66-2.89, 4 Tl 2.84, 4 Fe 2.84
Mo2 0.0000 0.0000 0.5000  4 Mo 2.66-2.89, 4 Fe 2.84, 4 Tl 2.84
Tl1 0.5000 0.0000 0.0000  2 Fe 2.66, 8 Mo 2.84, 2 Tl 2.89

---

Most stable structure: model a

---

Model a:
FeMo2W: single point on PBEsol structure, meta-GGA SCAN.

Summary:
Its size of the total moment is 2.3 μB per formula unit. Its space group is Cmm2, No. 35.

Unit cell a=2.6631 b=2.6631 c=8.5208 alpha=90.00 beta=90.00 gamma=108.22
Closest atoms and distances in Å follow each position.
Fractional positions:
Mo1 0.0000 0.0000 0.0130  2 Fe 2.55, 6 Mo 2.66-2.72
Mo2 0.5000 0.5000 0.7509  6 Mo 2.66-2.72, 2 W 2.74
Fe1 0.5000 0.5000 0.2495  2 Mo 2.55, 2 W 2.55, 4 Fe 2.66
W1 0.0000 0.0000 0.4867  2 Fe 2.55, 4 W 2.66, 2 Mo 2.74

---

Model b:
FeMo2W: single point on PBEsol structure, meta-GGA SCAN.

Summary:
Its size of the total moment is 2.1 μB per formula unit. Its space group is F-43m, No. 216.

Unit cell a=4.3275 b=4.3275 c=4.3275 alpha=60.00 beta=60.00 gamma=60.00
Closest atoms and distances in Å follow each position.
Fractional positions:
Fe1 0.5000 0.5000 0.5000  4 W 2.65, 4 Mo 2.65
Mo1 0.0000 0.0000 0.0000  4 Mo 2.65, 4 W 2.65
Mo2 0.2500 0.2500 0.2500  4 Fe 2.65, 4 Mo 2.65
W1 0.7500 0.7500 0.7500  4 Mo 2.65, 4 Fe 2.65

---

Most stable structure: model a

---

Model a:
YFeMo2: single point on PBEsol structure, meta-GGA SCAN.

Summary:
Its size of the total moment is 0.0 μB per formula unit. Its space group is Cmmm, No. 65.

Unit cell a=2.7839 b=2.7839 c=8.3285 alpha=90.00 beta=90.00 gamma=89.79
Closest atoms and distances in Å follow each position.
Fractional positions:
Fe1 0.5000 0.5000 0.0000  8 Mo 2.57, 4 Fe 2.78
Mo1 0.0000 0.0000 0.1980  4 Fe 2.57, 4 Mo 2.78
Mo2 0.0000 0.0000 0.8020  4 Fe 2.57, 4 Mo 2.78
Y1 0.5000 0.5000 0.5000  4 Y 2.78

---

Model b:
YFeMo2: single point on PBEsol structure, meta-GGA SCAN.

Summary:
Its size of the total moment is 1.8 μB per formula unit. Its space group is P2/m, No. 10.

Unit cell a=2.8223 b=4.6172 c=5.0712 alpha=90.00 beta=100.92 gamma=90.00
Closest atoms and distances in Å follow each position.
Fractional positions:
Fe1 0.0000 0.5000 0.5000  2 Y 2.66, 4 Mo 2.75, 2 Fe 2.82
Mo1 0.7716 0.0000 0.7409  4 Mo 2.63-2.82, 2 Fe 2.75, 2 Y 2.83
Mo2 0.2284 0.0000 0.2591  4 Mo 2.63-2.82, 2 Fe 2.75, 2 Y 2.83
Y1 0.5000 0.5000 0.0000  2 Fe 2.66, 2 Y 2.82, 4 Mo 2.83

---

Most stable structure: model b

---

Model a:
YFeMo2: single point on PBEsol structure, meta-GGA SCAN.

Summary:
Its size of the total moment is 2.0 μB per formula unit. Its space group is P4mm, No. 99.

Unit cell a=3.1434 b=3.1434 c=6.7597 alpha=90.00 beta=90.00 gamma=90.00
Closest atoms and distances in Å follow each position.
Fractional positions:
Fe1 0.5000 0.5000 0.2053  5 Mo 2.59-2.77
Mo1 0.0000 0.0000 0.0074  4 Fe 2.59, 4 Mo 2.64
Mo2 0.5000 0.5000 0.7957  4 Mo 2.64, 1 Fe 2.77
Y1 0.0000 0.0000 0.4916  4 Fe 2.95, 5 Mo 3.03-3.27, 4 Y 3.14

---

Model b:
YFeMo2: single point on PBEsol structure, meta-GGA SCAN.

Summary:
Its size of the total moment is 1.8 μB per formula unit. Its space group is C2/m, No. 12.

Unit cell a=2.7693 b=5.1092 c=5.3717 alpha=115.07 beta=99.33 gamma=101.60
Closest atoms and distances in Å follow each position.
Fractional positions:
Fe1 0.0000 0.5000 0.0000  2 Y 2.65, 2 Fe 2.77, 4 Mo 2.82
Mo1 0.0000 0.0000 0.5000  4 Mo 2.65-2.77, 2 Fe 2.82, 2 Y 2.82
Mo2 0.5000 0.5000 0.5000  4 Mo 2.65-2.77, 2 Y 2.82, 2 Fe 2.82
Y1 0.5000 0.0000 0.0000  2 Fe 2.65, 2 Y 2.77, 4 Mo 2.82

---

Most stable structure: model a

---

Model a:
YFe2Mo: single point on PBEsol structure, meta-GGA SCAN.

Summary:
Its size of the total moment is 4.3 μB per formula unit. Its space group is P4mm, No. 99.

Unit cell a=3.0156 b=3.0156 c=6.8827 alpha=90.00 beta=90.00 gamma=90.00
Closest atoms and distances in Å follow each position.
Fractional positions:
Fe1 0.0000 0.0000 0.0602  4 Fe 2.47, 1 Mo 2.59
Fe2 0.5000 0.5000 0.2400  4 Fe 2.47, 4 Mo 2.52
Mo1 0.0000 0.0000 0.4361  5 Fe 2.52-2.59
Y1 0.5000 0.5000 0.7636  5 Fe 2.95-3.28, 4 Y 3.02, 4 Mo 3.10

---

Model b:
YFe2Mo: single point on PBEsol structure, meta-GGA SCAN.

Summary:
Its size of the total moment is 4.8 μB per formula unit. Its space group is R3m, No. 160.

Unit cell a=2.8675 b=2.8675 c=8.9647 alpha=80.80 beta=80.80 gamma=60.00
Closest atoms and distances in Å follow each position.
Fractional positions:
Fe1 0.9871 0.9871 0.0387  3 Fe 2.42
Fe2 0.2536 0.2536 0.2393  3 Fe 2.42, 3 Mo 2.54
Mo1 0.5138 0.5138 0.4587  3 Fe 2.54
Y1 0.7455 0.7455 0.7634  6 Y 2.87, 3 Fe 2.94, 3 Mo 3.15

---

Most stable structure: model a

---

Model a:
NaFeN: single point on PBEsol structure, meta-GGA SCAN.

Summary:
Its size of the total moment is 0.0 μB per formula unit. Its space group is P6_3mc, No. 186.

Unit cell a=2.9649 b=2.9649 c=9.7543 alpha=90.00 beta=90.00 gamma=120.00
Closest atoms and distances in Å follow each position.
Fractional positions:
Na1 0.3333 0.6667 0.2384  3 N 2.57
Na2 0.6667 0.3333 0.7384  3 N 2.57
Fe1 0.0000 0.0000 0.4819  3 N 1.77
Fe2 0.0000 0.0000 0.9819  3 N 1.77
N1 0.6667 0.3333 0.4351  3 Fe 1.77
N2 0.3333 0.6667 0.9351  3 Fe 1.77

---

Model b:
NaFeN: single point on PBEsol structure, meta-GGA SCAN.

Summary:
Its size of the total moment is 0.0 μB per formula unit. Its space group is Imma, No. 74.

Unit cell a=3.4820 b=4.8967 c=5.8972 alpha=114.53 beta=107.17 gamma=90.00
Closest atoms and distances in Å follow each position.
Fractional positions:
Na1 0.0984 0.3484 0.1968  3 N 2.47-2.49
Na2 0.9016 0.6516 0.8032  3 N 2.47-2.49
Fe1 0.3254 0.0754 0.6508  3 N 1.77-1.83
Fe2 0.6746 0.9246 0.3492  3 N 1.77-1.83
N1 0.8552 0.1052 0.7104  3 Fe 1.77-1.83
N2 0.1448 0.8948 0.2896  3 Fe 1.77-1.83

---

Most stable structure: model a